Material: Tl2Cu2AuBr6
Method: DFT, PBE-GGA
State: optimized geometry

Calculated values
Raw formation energy   -4.783 eV/f.u.
Total energy   -2.8203 eV/atom
Magnetic moment   0.00 μB/cell

extended XYZ file:
```
11
Lattice="-6.0902 -2.2913 3.3423 2.6850 -4.5457 -6.2291 3.7223 -1.7928 5.5537" Properties=species:S:1:pos:R:3 pbc="T T T"
Tl -2.4442 -4.1963 0.6747
Tl 2.7613 -4.4336 1.9922
Cu -0.4198 -7.7810 1.9060
Cu 0.7369 -0.8488 0.7609
Au -1.1840 -2.0420 4.4480
Br -0.6425 -5.6911 2.9330
Br 1.9941 -4.7964 -3.6349
Br 1.3512 -2.6941 4.6400
Br -1.6770 -3.8334 6.3018
Br -1.0341 -5.9357 -1.9731
Br 0.9596 -2.9387 -0.2661
```


Material: TlCuAuBr5
Method: DFT, PBE-GGA
State: optimized geometry

Calculated values
Raw formation energy   -2.740 eV/f.u.
Total energy   -2.6055 eV/atom
Magnetic moment   0.00 μB/cell

extended XYZ file:
```
16
Lattice="8.1768 -0.8799 -0.0478 -3.2285 7.5639 -0.0478 -2.0960 -2.8311 8.7217" Properties=species:S:1:pos:R:3 pbc="T T T"
Tl -0.0012 4.0789 2.1326
Tl 2.8536 -0.2261 6.4935
Cu 3.7925 1.2703 2.1326
Cu -0.9401 2.5826 6.4935
Au -1.0480 -1.4156 4.3609
Au 0.0000 0.0000 0.0000
Br -2.8764 6.2075 2.1326
Br 5.7288 -2.3547 6.4935
Br 5.7038 1.3891 0.7246
Br -2.8514 2.4638 7.9015
Br 4.2368 -0.5924 3.5406
Br -1.3844 4.4453 5.0855
Br 2.9805 2.9253 3.7556
Br -0.1281 0.9275 4.8705
Br 1.9725 1.5638 0.5096
Br 0.8799 2.2890 8.1164
```


Material: Tl3Cu2AuBr9
Method: DFT, PBE-GGA
State: optimized geometry

Calculated values
Raw formation energy   -6.808 eV/f.u.
Total energy   -2.6955 eV/atom
Magnetic moment   0.00 μB/cell

extended XYZ file:
```
15
Lattice="7.3892 0.0000 0.0000 -3.6946 6.3992 0.0000 0.0000 0.0000 9.0889" Properties=species:S:1:pos:R:3 pbc="T T T"
Tl 0.0000 4.2662 6.2272
Tl 0.0000 0.0000 0.0000
Tl 3.6946 2.1331 2.8618
Cu 0.0000 4.2662 1.4607
Cu 3.6946 2.1331 7.6282
Au 0.0000 0.0000 4.5445
Br 5.4996 1.0909 6.1092
Br 3.6946 4.2174 6.1092
Br 1.8895 1.0909 6.1092
Br 1.8050 5.3083 2.9797
Br 0.0000 2.1819 2.9797
Br -1.8051 5.3083 2.9797
Br 3.6946 0.0000 0.0000
Br -1.8473 3.1996 0.0000
Br 1.8473 3.1996 0.0000
```


no.,ρ (g/cm3)
1,5.8
2,5.6
3,6.4